Entry from Alexandria: KRh2W after structural relaxation (PBE).

Unit cell a=4.964 b=4.964 c=2.815 alpha=90.00 beta=90.00 gamma=97.54
Sites, in units of the cell vectors:
K1 0.000 0.000 0.000
Rh1 0.000 0.500 0.500
Rh2 0.500 0.000 0.500
W1 0.500 0.500 0.000

Properties
Calculated formation energy in eV per atom: 0.828
Volume in Å³ per atom: 17.2
Spin magnetization in μB/cell: 0.00
SG: Cmmm, No. 65
Density in g cm⁻³: 10.354

Entry from Alexandria: YMnCu2 after structural relaxation (PBE).

Unit cell a=4.612 b=4.612 c=4.612 alpha=60.00 beta=60.00 gamma=60.00
Sites, in units of the cell vectors:
Y1 0.000 0.000 0.000
Mn1 0.500 0.500 0.500
Cu1 0.250 0.250 0.250
Cu2 0.750 0.750 0.750

Properties
Calculated formation energy in eV per atom: 0.016
Volume in Å³ per atom: 17.3
Spin magnetization in μB/cell: 4.02
SG: Fm-3m, No. 225
Density in g cm⁻³: 6.484

Entry from Alexandria: ZrTeRh2 after structural relaxation (PBE).

Unit cell a=5.015 b=5.015 c=5.015 alpha=130.73 beta=130.73 gamma=72.24
Sites, in units of the cell vectors:
Zr1 0.000 0.000 0.000
Te1 0.500 0.500 0.000
Rh1 0.250 0.750 0.500
Rh2 0.750 0.250 0.500

Properties
Formation energy without anion corrections in eV/atom: -0.53
Volume in Å³ per atom: 17.7
Spin magnetization in μB/cell: 0.00
SG: I4/mmm, No. 139
Density in g cm⁻³: 9.961

Entry from Alexandria: Ca2AcCu after structural relaxation (PBE).

Unit cell a=7.591 b=10.975 c=6.493 alpha=90.00 beta=90.00 gamma=90.00
Sites, in units of the cell vectors:
Ca1 0.177 0.066 0.168
Ca2 0.177 0.434 0.168
Ca3 0.323 0.566 0.668
Ca4 0.323 0.934 0.668
Ca5 0.677 0.066 0.332
Ca6 0.677 0.434 0.332
Ca7 0.823 0.566 0.832
Ca8 0.823 0.934 0.832
Ac1 0.036 0.250 0.644
Ac2 0.464 0.750 0.144
Ac3 0.536 0.250 0.856
Ac4 0.964 0.750 0.356
Cu1 0.110 0.750 0.910
Cu2 0.390 0.250 0.410
Cu3 0.610 0.750 0.590
Cu4 0.890 0.250 0.090

Properties
Calculated formation energy in eV per atom: -0.047
Volume in Å³ per atom: 33.8
Spin magnetization in μB/cell: 0.00
SG: Pnma, No. 62
Density in g cm⁻³: 4.552

Entry from Alexandria: Ta3ZnCd after structural relaxation (PBE).

Unit cell a=4.959 b=4.959 c=4.959 alpha=90.00 beta=90.00 gamma=90.00
Sites, in units of the cell vectors:
Ta1 0.000 0.000 0.500
Ta2 0.000 0.500 0.000
Ta3 0.500 0.000 0.000
Zn1 0.500 0.500 0.500
Cd1 0.000 0.000 0.000

Properties
Calculated formation energy in eV per atom: 2.221
Volume in Å³ per atom: 24.4
Spin magnetization in μB/cell: 0.00
SG: Pm-3m, No. 221
Density in g cm⁻³: 9.814

Entry from Alexandria: GeRu3I after structural relaxation (PBE).

Unit cell a=4.612 b=4.612 c=4.612 alpha=90.00 beta=90.00 gamma=90.00
Sites, in units of the cell vectors:
Ge1 0.000 0.000 0.000
Ru1 0.000 0.000 0.500
Ru2 0.000 0.500 0.000
Ru3 0.500 0.000 0.000
I1 0.500 0.500 0.500

Properties
Formation energy without anion corrections in eV/atom: 1.26
Volume in Å³ per atom: 19.6
Spin magnetization in μB/cell: 0.00
SG: Pm-3m, No. 221
Density in g cm⁻³: 8.511

Entry from Alexandria: PrHgGe after structural relaxation (PBE).

Unit cell a=4.521 b=4.521 c=4.311 alpha=90.00 beta=90.00 gamma=120.00
Sites, in units of the cell vectors:
Pr1 0.000 0.000 0.000
Hg1 0.667 0.333 0.563
Ge1 0.333 0.667 0.404

Properties
Calculated formation energy in eV per atom: -0.530
Volume in Å³ per atom: 25.4
Spin magnetization in μB/cell: 0.00
SG: P3m1, No. 156
Density in g cm⁻³: 9.012

Entry from Alexandria: EuAlCd2 after structural relaxation (PBE).

Unit cell a=4.553 b=4.553 c=4.800 alpha=90.00 beta=90.00 gamma=90.00
Sites, in units of the cell vectors:
Eu1 0.000 0.000 0.000
Al1 0.500 0.500 0.000
Cd1 0.000 0.500 0.500
Cd2 0.500 0.000 0.500

Properties
Calculated formation energy in eV per atom: -0.150
Volume in Å³ per atom: 24.9
Spin magnetization in μB/cell: 7.43
SG: P4/mmm, No. 123
Density in g cm⁻³: 6.739

Q: Look up the density of the fifth one.
A: 9.814 g cm⁻³